Entry 1:
Material: Cu2GePd3
Method: DFT, PBE
State: relaxed

a = 4.4222 Å, b = 13.3509 Å, c = 5.7707 Å
α = 90.00°, β = 90.00°, γ = 90.00°
With the nearest neighbours (Å) after each atom.
Space group Cmmm (No. 65)
Unique sites:
Cu1 0.0000 0.0000 0.0000 (multiplicity 2)  8 Pd 2.64-2.73, 2 Cu 2.89
Cu2 0.0000 0.0000 0.5000 (multiplicity 2)  8 Pd 2.64-2.69, 2 Cu 2.89
Cu3 0.0000 0.3357 0.0000 (multiplicity 4)  8 Pd 2.62-2.66, 2 Ge 2.89
Ge1 0.0000 0.3431 0.5000 (multiplicity 4)  8 Pd 2.55-2.69
Pd1 0.0000 0.1717 0.2563 (multiplicity 8)  3 Ge 2.63-2.69, 5 Cu 2.64-2.73, 1 Pd 2.81
Pd2 0.0000 0.5000 0.2491 (multiplicity 4)  2 Ge 2.55, 6 Cu 2.62-2.64

Values from the calculation:
**Energy of formation**: -0.273 eV per atom
**DFT total energy**: -5.005 eV per atom


Entry 2:
Material: SrMg2W
Method: DFT, PBE
State: relaxed

a = 4.5041 Å, b = 4.5041 Å, c = 9.2623 Å
α = 90.00°, β = 90.00°, γ = 90.00°
With the nearest neighbours (Å) after each atom.
Space group I-4m2 (No. 119)
Unique sites:
Sr1 0.0000 0.0000 0.0000 (multiplicity 2)  8 Mg 3.18-3.23, 4 W 3.23
Mg1 0.0000 0.0000 0.5000 (multiplicity 2)  4 Sr 3.18, 4 W 3.23, 4 Mg 3.23
Mg2 0.0000 0.5000 0.2500 (multiplicity 2)  4 W 3.18, 4 Mg 3.23, 4 Sr 3.23
W1 0.0000 0.5000 0.7500 (multiplicity 2)  8 Mg 3.18-3.23, 4 Sr 3.23

Values from the calculation:
**ΔE to the lowest computed polymorph**: 33.6 kJ/mol of atoms
**Energy of formation**: 0.931 eV per atom
**DFT total energy**: -3.525 eV per atom


Entry 3:
Material: USiAu
Method: DFT, PBE
State: relaxed

a = 3.0068 Å, b = 3.0068 Å, c = 12.3230 Å
α = 90.00°, β = 90.00°, γ = 90.00°
With the nearest neighbours (Å) after each atom.
Space group I4mm (No. 107)
Unique sites:
U1 0.0000 0.0000 0.0000 (multiplicity 2)  4 Si 2.93, 4 U 3.01, 4 Au 3.22
Si1 0.0000 0.0000 0.6636 (multiplicity 2)  4 Au 2.74, 4 U 2.93, 4 Si 3.01
Au1 0.0000 0.0000 0.3037 (multiplicity 2)  4 Si 2.74, 4 Au 3.01

Values from the calculation:
**Energy relative to the elements, uncorrected**: 0.023 eV/atom
**DFT total energy**: -6.639 eV per atom